This record from the Alexandria database describes a crystal of KCaTl2 relaxed with PBEsol. The functional is SCAN.

Calculated values
The calculation puts the density of states at the Fermi level at 0.592 states/eV/atom. The formation energy is -0.19 eV/atom. The value obtained for the total magnetic moment is 0.0000 μB per atom.

Cell: 3.7257 3.7257 11.0536 Å, 80.30 80.30 60.00°
Closest atoms and distances in Å follow each position.
Element x y z (fractional)
Ca  0.5000  0.5000  0.5000  6 Tl 3.29
K  0.0000  0.0000  0.0000  6 Tl 3.64, 6 K 3.73
Tl  0.2432  0.2432  0.2704  3 Ca 3.29, 3 K 3.64
Tl  0.7568  0.7568  0.7296  3 Ca 3.29, 3 K 3.64